(1)
This record from OQMD describes a geometry-optimized TbScH2Br4 structure. The functional is PBE.

Output
calculated total energy: -35.6 eV per cell
calculated volume: 177.0 Å³/f.u.
magnetization: 0.00 μB per formula unit
theoretical density: 4930 kg/m3
crystal system: hexagonal

a = 3.7358 Å, b = 3.7358 Å, c = 14.6444 Å
α = 90.00°, β = 90.00°, γ = 120.00°
With the nearest neighbours (Å) after each atom.
Positions (direct):
Br1 0.6667 0.3333 0.1233  3 Sc 2.81, 3 H 2.81
Br2 0.3333 0.6667 0.3665  3 H 2.91, 3 Tb 2.91
Br3 0.3333 0.6667 0.6335  3 H 2.91, 3 Tb 2.91
Br4 0.6667 0.3333 0.8767  3 Sc 2.81, 3 H 2.81
H1 0.3333 0.6667 0.0000  3 Sc 2.16
H2 0.6667 0.3333 0.5000  3 Tb 2.16
Sc1 0.0000 0.0000 0.0000  3 H 2.16
Tb1 0.0000 0.0000 0.5000  3 H 2.16

=====

(2)
This record from OQMD describes a geometry-optimized Tl3NiBr6 structure. The functional is PBE.

Output
calculated total energy: -28.5 eV per cell
calculated volume: 321.5 Å³/f.u.
magnetization: 1.00 μB per formula unit
theoretical density: 5946 kg/m3
crystal system: cubic

a = 7.6895 Å, b = 7.6895 Å, c = 7.6895 Å
α = 60.00°, β = 60.00°, γ = 60.00°
With the nearest neighbours (Å) after each atom.
Positions (direct):
Br1 0.7702 0.2298 0.2298  1 Ni 2.50
Br2 0.2298 0.7702 0.2298  1 Ni 2.50
Br3 0.7702 0.7702 0.2298  1 Ni 2.50
Br4 0.2298 0.2298 0.7702  1 Ni 2.50
Br5 0.7702 0.2298 0.7702  1 Ni 2.50
Br6 0.2298 0.7702 0.7702  1 Ni 2.50
Ni1 0.0000 0.0000 0.0000  6 Br 2.50
Tl1 0.2500 0.2500 0.2500  12 Br 3.85
Tl2 0.5000 0.5000 0.5000  6 Br 2.94
Tl3 0.7500 0.7500 0.7500  12 Br 3.85

=====

(3)
This record from OQMD describes a geometry-optimized ZrTe structure. The functional is PBE.

Output
calculated total energy: -76.3 eV per cell
calculated volume: 49.6 Å³/f.u.
magnetization: 0.00 μB per formula unit
theoretical density: 7326 kg/m3
crystal system: orthorhombic

a = 5.6154 Å, b = 10.1099 Å, c = 5.2424 Å
α = 90.00°, β = 90.00°, γ = 90.00°
With the nearest neighbours (Å) after each atom.
Positions (direct):
Te1 0.4051 0.1218 0.0000  6 Zr 2.85-3.13
Te2 0.9051 0.7115 0.0000  6 Zr 2.85-3.13
Te3 0.8884 0.1275 0.5000  5 Zr 2.88-3.09
Te4 0.3744 0.3289 0.5000  5 Zr 3.16-3.24, 6 Te 3.32-3.53
Te5 0.8744 0.5044 0.5000  5 Zr 3.16-3.24, 6 Te 3.32-3.53
Te6 0.3884 0.7059 0.5000  5 Zr 2.88-3.09
Zr1 0.8996 0.0103 0.0000  5 Te 2.88-3.05
Zr2 0.0377 0.3543 0.0000  2 Zr 3.08, 5 Te 3.13-3.24
Zr3 0.5377 0.4790 0.0000  2 Zr 3.08, 5 Te 3.13-3.24
Zr4 0.3995 0.8231 0.0000  5 Te 2.88-3.05
Zr5 0.3948 0.0114 0.5000  5 Te 2.85-3.09
Zr6 0.8947 0.8220 0.5000  5 Te 2.85-3.09

=====

Q: What is the theoretical density in the first record?
A: 4930 kg/m3

=====

Q: Which value of magnetization does entry 3 give?
A: 0.00 μB per formula unit

=====

Q: Which of these has the highest calculated volume?
A: Tl3NiBr6

=====

Q: The highest magnetization belongs to which entry?
A: Tl3NiBr6